The following is a DFT calculation (GGA-PBE) of an optimized crystal structure of ThHgPb2.

abc: 4.887 4.887 4.719
angles: 90.00 90.00 90.00
Fractional positions:
1 Th 0.000 0.000 0.000
2 Hg 0.500 0.500 0.000
3 Pb 0.000 0.500 0.500
4 Pb 0.500 0.000 0.500

Computed properties:
space-group type	P4/mmm, No. 123
calculated total energy	-16.2	eV/cell


The following is a DFT calculation (GGA-PBE) of an optimized crystal structure of ThHg2Pb.

abc: 4.694 4.694 4.919
angles: 90.00 90.00 90.00
Fractional positions:
1 Th 0.000 0.000 0.000
2 Hg 0.000 0.500 0.500
3 Hg 0.500 0.000 0.500
4 Pb 0.500 0.500 0.000

Computed properties:
space-group type	P4/mmm, No. 123
calculated total energy	-12.8	eV/cell


The following is a DFT calculation (GGA-PBE) of an optimized crystal structure of TlHgPb.

abc: 7.281 7.281 7.281
angles: 90.00 90.00 90.00
Fractional positions:
1 Tl 0.000 0.000 0.000
2 Tl 0.000 0.500 0.500
3 Tl 0.500 0.000 0.500
4 Tl 0.500 0.500 0.000
5 Hg 0.250 0.250 0.750
6 Hg 0.250 0.750 0.250
7 Hg 0.750 0.250 0.250
8 Hg 0.750 0.750 0.750
9 Pb 0.250 0.250 0.250
10 Pb 0.250 0.750 0.750
11 Pb 0.750 0.250 0.750
12 Pb 0.750 0.750 0.250

Computed properties:
space-group type	F-43m, No. 216
calculated total energy	-23.3	eV/cell


The following is a DFT calculation (GGA-PBE) of an optimized crystal structure of Tm8HgPb5.

abc: 8.001 8.001 8.001
angles: 109.65 109.65 109.11
Fractional positions:
1 Tm 0.119 0.233 0.748
2 Tm 0.124 0.729 0.751
3 Tm 0.271 0.022 0.395
4 Tm 0.484 0.371 0.252
5 Tm 0.627 0.876 0.605
6 Tm 0.629 0.881 0.113
7 Tm 0.767 0.516 0.887
8 Tm 0.978 0.373 0.249
9 Hg 0.750 0.250 0.500
10 Pb 0.000 0.000 0.000
11 Pb 0.251 0.625 0.126
12 Pb 0.375 0.501 0.626
13 Pb 0.499 0.124 0.874
14 Pb 0.876 0.749 0.374

Computed properties:
space-group type	I-4, No. 82
calculated total energy	-60.7	eV/cell